LiLaDyCo: relaxed, PBE.

Results
D(E_F), states/eV/atom: 0.914
Total magnetization, μB per formula unit: 0.0
Calculated total energy, Ry/atom: -0.3406
Calculated density, g cm⁻³: 6.93

Lattice parameters (Å, degrees): 4.992 4.992 4.992 60.00 60.00 60.00
Atoms (fractional coordinates):
Li 0.000 0.000 0.000
La 0.750 0.750 0.750
Dy 0.250 0.250 0.250
Co 0.500 0.500 0.500

RbZnAgP: relaxed, PBE.

Results
D(E_F), states/eV/atom: 0.417
Total magnetization, μB per formula unit: 0.0
Calculated total energy, Ry/atom: -0.1751
Calculated density, g cm⁻³: 4.69

Lattice parameters (Å, degrees): 3.231 6.350 6.350 51.91 90.00 90.00
Atoms (fractional coordinates):
Rb 0.000 0.000 0.000
Zn 0.000 0.299 0.299
Ag 0.500 0.681 0.681
P 0.500 0.454 0.454

E_form per entry: 0.00 0.24 eV per atom